An optimized crystal structure of Ce6CoBi3. Source: the Alexandria database, functional PBE-GGA.

Properties
Final energy   -115.434 eV for the cell shown
Magnetization   6.52 μB/f.u.
Crystal system   monoclinic

Cell and atoms, written as CIF:
```
data_Ce6CoBi3
_chemical_formula_sum 'Ce12 Co2 Bi6'
_cell_length_a 11.9481
_cell_length_b 6.6487
_cell_length_c 8.5097
_cell_angle_alpha 90.00
_cell_angle_beta 113.42
_cell_angle_gamma 90.00
_space_group_name_H-M_alt 'C 1 2/m 1'
_space_group_IT_number 12
loop_
_space_group_symop_operation_xyz
'x,y,z'
'-x,-y,-z'
'-x,y,-z'
'x,-y,z'
'x+1/2,y+1/2,z'
'-x+1/2,-y+1/2,-z'
'-x+1/2,y+1/2,-z'
'x+1/2,-y+1/2,z'
loop_
_atom_site_label
_atom_site_fract_x
_atom_site_fract_y
_atom_site_fract_z
Ce1 0.0900 0.2245 0.3684
Ce2 0.1998 0.5000 0.8294
Co1 0.0000 0.5000 0.5000
Bi1 0.0000 0.0000 0.0000
Bi2 0.2034 0.0000 0.7431
```